<one>
Density functional theory data (GGA-PBE) for a geometry-optimized Mg2ReF structure.

The structure in POSCAR format:
```
Mg2ReF
1.0
-3.023 3.023 3.530
3.023 -3.023 3.530
3.023 3.023 -3.530
Mg Re F
4 2 2
direct
0.029 0.625 0.904
0.375 0.279 0.404
0.721 0.125 0.096
0.875 0.971 0.596
0.250 0.750 0.500
0.500 0.500 0.000
0.000 0.000 0.000
0.750 0.250 0.500
```

Computed properties:
D(E_F)   5.813 states/eV per cell

---

<two>
Density functional theory data (GGA-PBE) for a geometry-optimized Mg2ReF structure.

The structure in POSCAR format:
```
Mg2ReF
1.0
0.000 3.261 3.261
3.261 0.000 3.261
3.261 3.261 0.000
Mg Re F
2 1 1
direct
0.250 0.250 0.250
0.750 0.750 0.750
0.000 0.000 0.000
0.500 0.500 0.500
```

Computed properties:
D(E_F)   2.173 states/eV per cell

---

Least stable structure: <two>

---

<one>
Density functional theory data (GGA-PBE) for a geometry-optimized Mg3ReF structure.

The structure in POSCAR format:
```
Mg3ReF
1.0
5.241 0.000 0.000
0.000 5.241 0.000
0.000 0.000 5.241
Mg Re F
3 1 1
direct
0.000 0.000 0.500
0.000 0.500 0.000
0.500 0.000 0.000
0.000 0.000 0.000
0.500 0.500 0.500
```

Computed properties:
D(E_F)   7.035 states/eV per cell

---

<two>
Density functional theory data (GGA-PBE) for a geometry-optimized Mg3ReF structure.

The structure in POSCAR format:
```
Mg3ReF
1.0
4.244 0.000 0.000
0.000 4.244 0.000
0.000 0.000 4.244
Mg Re F
3 1 1
direct
0.000 0.000 0.500
0.000 0.500 0.000
0.500 0.000 0.000
0.500 0.500 0.500
0.000 0.000 0.000
```

Computed properties:
D(E_F)   0.303 states/eV per cell

---

Least stable structure: <one>

---

<one>
Density functional theory data (GGA-PBE) for a geometry-optimized MgRhF2 structure.

The structure in POSCAR format:
```
MgRhF2
1.0
-2.643 2.643 4.549
2.643 -2.643 4.549
2.643 2.643 -4.549
Mg Rh F
2 2 4
direct
0.000 0.000 0.000
0.750 0.250 0.500
0.250 0.750 0.500
0.500 0.500 0.000
0.009 0.625 0.884
0.375 0.259 0.384
0.741 0.125 0.116
0.875 0.991 0.616
```

Computed properties:
D(E_F)   5.879 states/eV per cell

---

<two>
Density functional theory data (GGA-PBE) for a geometry-optimized MgRhF2 structure.

The structure in POSCAR format:
```
MgRhF2
1.0
0.000 2.943 2.943
2.943 0.000 2.943
2.943 2.943 0.000
Mg Rh F
1 1 2
direct
0.000 0.000 0.000
0.500 0.500 0.500
0.250 0.250 0.250
0.750 0.750 0.750
```

Computed properties:
D(E_F)   1.870 states/eV per cell

---

Least stable structure: <two>

---

<one>
Density functional theory data (GGA-PBE) for a geometry-optimized MgRh2F structure.

The structure in POSCAR format:
```
MgRh2F
1.0
-1.725 1.725 10.769
1.725 -1.725 10.769
1.725 1.725 -10.769
Mg Rh F
2 4 2
direct
0.000 0.000 0.000
0.750 0.250 0.500
0.125 0.625 0.000
0.375 0.375 0.500
0.625 0.125 0.000
0.875 0.875 0.500
0.250 0.750 0.500
0.500 0.500 0.000
```

Computed properties:
D(E_F)   9.439 states/eV per cell

---

<two>
Density functional theory data (GGA-PBE) for a geometry-optimized MgRh2F structure.

The structure in POSCAR format:
```
MgRh2F
1.0
0.000 3.058 3.058
3.058 0.000 3.058
3.058 3.058 0.000
Mg Rh F
1 2 1
direct
0.000 0.000 0.000
0.250 0.250 0.250
0.750 0.750 0.750
0.500 0.500 0.500
```

Computed properties:
D(E_F)   6.647 states/eV per cell

---

Least stable structure: <two>

---

<one>
Density functional theory data (GGA-PBE) for a geometry-optimized MgRuF3 structure.

The structure in POSCAR format:
```
MgRuF3
1.0
4.000 0.000 0.000
0.000 4.000 0.000
0.000 0.000 4.000
Mg Ru F
1 1 3
direct
0.000 0.000 0.000
0.500 0.500 0.500
0.000 0.000 0.500
0.000 0.500 0.000
0.500 0.000 0.000
```

Computed properties:
D(E_F)   1.594 states/eV per cell

---

<two>
Density functional theory data (GGA-PBE) for a geometry-optimized MgRuF3 structure.

The structure in POSCAR format:
```
MgRuF3
1.0
4.220 0.000 0.000
0.000 4.220 0.000
0.000 0.000 4.220
Mg Ru F
1 1 3
direct
0.000 0.000 0.000
0.500 0.500 0.500
0.000 0.500 0.500
0.500 0.000 0.500
0.500 0.500 0.000
```

Computed properties:
D(E_F)   4.310 states/eV per cell

---

Least stable structure: <two>

---

<one>
Density functional theory data (GGA-PBE) for a geometry-optimized MgRu3F structure.

The structure in POSCAR format:
```
MgRu3F
1.0
4.703 0.000 0.000
0.000 4.703 0.000
0.000 0.000 4.703
Mg Ru F
1 3 1
direct
0.000 0.000 0.000
0.000 0.000 0.500
0.000 0.500 0.000
0.500 0.000 0.000
0.500 0.500 0.500
```

Computed properties:
D(E_F)   7.762 states/eV per cell

---

<two>
Density functional theory data (GGA-PBE) for a geometry-optimized MgRu3F structure.

The structure in POSCAR format:
```
MgRu3F
1.0
4.212 0.000 0.000
0.000 4.212 0.000
0.000 0.000 4.212
Mg Ru F
1 3 1
direct
0.000 0.000 0.000
0.000 0.500 0.500
0.500 0.000 0.500
0.500 0.500 0.000
0.500 0.500 0.500
```

Computed properties:
D(E_F)   6.403 states/eV per cell

---

Least stable structure: <one>

---

<one>
Density functional theory data (GGA-PBE) for a geometry-optimized MgRuF2 structure.

The structure in POSCAR format:
```
MgRuF2
1.0
1.509 0.871 7.456
-1.509 0.871 7.456
0.000 -1.743 7.456
Mg Ru F
1 1 2
direct
0.000 0.000 0.000
0.500 0.500 0.500
0.088 0.088 0.088
0.912 0.912 0.912
```

Computed properties:
D(E_F)   1.356 states/eV per cell

---

<two>
Density functional theory data (GGA-PBE) for a geometry-optimized MgRuF2 structure.

The structure in POSCAR format:
```
MgRuF2
1.0
1.429 0.825 8.932
-1.429 0.825 8.932
0.000 -1.650 8.932
Mg Ru F
1 1 2
direct
0.000 0.000 0.000
0.500 0.500 0.500
0.372 0.372 0.372
0.628 0.628 0.628
```

Computed properties:
D(E_F)   1.441 states/eV per cell

---

<three>
Density functional theory data (GGA-PBE) for a geometry-optimized MgRuF2 structure.

The structure in POSCAR format:
```
MgRuF2
1.0
-2.679 2.679 4.509
2.679 -2.679 4.509
2.679 2.679 -4.509
Mg Ru F
2 2 4
direct
0.000 0.000 0.000
0.750 0.250 0.500
0.250 0.750 0.500
0.500 0.500 0.000
0.004 0.625 0.879
0.375 0.254 0.379
0.746 0.125 0.121
0.875 0.996 0.621
```

Computed properties:
D(E_F)   10.868 states/eV per cell

---

Least stable structure: <one>

---

<one>
Density functional theory data (GGA-PBE) for a geometry-optimized MgSF3 structure.

The structure in POSCAR format:
```
MgSF3
1.0
4.037 0.000 0.000
0.000 4.037 0.000
0.000 0.000 4.037
Mg S F
1 1 3
direct
0.000 0.000 0.000
0.500 0.500 0.500
0.000 0.000 0.500
0.000 0.500 0.000
0.500 0.000 0.000
```

Computed properties:
D(E_F)   0.000 states/eV per cell

---

<two>
Density functional theory data (GGA-PBE) for a geometry-optimized MgSF3 structure.

The structure in POSCAR format:
```
MgSF3
1.0
4.330 0.000 0.000
0.000 4.330 0.000
0.000 0.000 4.330
Mg S F
1 1 3
direct
0.000 0.000 0.000
0.500 0.500 0.500
0.000 0.500 0.500
0.500 0.000 0.500
0.500 0.500 0.000
```

Computed properties:
D(E_F)   1.309 states/eV per cell

---

Least stable structure: <two>

---

<one>
Density functional theory data (GGA-PBE) for a geometry-optimized MgSF2 structure.

The structure in POSCAR format:
```
MgSF2
1.0
-2.978 2.978 4.541
2.978 -2.978 4.541
2.978 2.978 -4.541
Mg S F
2 2 4
direct
0.000 0.000 0.000
0.750 0.250 0.500
0.250 0.750 0.500
0.500 0.500 0.000
0.375 0.138 0.263
0.862 0.125 0.237
0.875 0.112 0.737
0.888 0.625 0.763
```

Computed properties:
D(E_F)   2.393 states/eV per cell

---

<two>
Density functional theory data (GGA-PBE) for a geometry-optimized MgSF2 structure.

The structure in POSCAR format:
```
MgSF2
1.0
0.000 3.002 3.002
3.002 0.000 3.002
3.002 3.002 0.000
Mg S F
1 1 2
direct
0.000 0.000 0.000
0.500 0.500 0.500
0.250 0.250 0.250
0.750 0.750 0.750
```

Computed properties:
D(E_F)   1.096 states/eV per cell

---

Least stable structure: <two>

---

<one>
Density functional theory data (GGA-PBE) for a geometry-optimized MgSF2 structure.

The structure in POSCAR format:
```
MgSF2
1.0
1.466 0.846 9.390
-1.466 0.846 9.390
0.000 -1.693 9.390
Mg S F
1 1 2
direct
0.000 0.000 0.000
0.500 0.500 0.500
0.369 0.369 0.369
0.631 0.631 0.631
```

Computed properties:
D(E_F)   1.178 states/eV per cell

---

<two>
Density functional theory data (GGA-PBE) for a geometry-optimized MgSF2 structure.

The structure in POSCAR format:
```
MgSF2
1.0
1.602 0.925 8.456
-1.602 0.925 8.456
0.000 -1.850 8.456
Mg S F
1 1 2
direct
0.000 0.000 0.000
0.500 0.500 0.500
0.070 0.070 0.070
0.930 0.930 0.930
```

Computed properties:
D(E_F)   1.633 states/eV per cell

---

Least stable structure: <two>

---

<one>
Density functional theory data (GGA-PBE) for a geometry-optimized MgS3F structure.

The structure in POSCAR format:
```
MgS3F
1.0
4.676 0.000 0.000
0.000 4.676 0.000
0.000 0.000 4.676
Mg S F
1 3 1
direct
0.000 0.000 0.000
0.000 0.000 0.500
0.000 0.500 0.000
0.500 0.000 0.000
0.500 0.500 0.500
```

Computed properties:
D(E_F)   5.238 states/eV per cell

---

<two>
Density functional theory data (GGA-PBE) for a geometry-optimized MgS3F structure.

The structure in POSCAR format:
```
MgS3F
1.0
4.405 0.000 0.000
0.000 4.405 0.000
0.000 0.000 4.405
Mg S F
1 3 1
direct
0.000 0.000 0.000
0.000 0.500 0.500
0.500 0.000 0.500
0.500 0.500 0.000
0.500 0.500 0.500
```

Computed properties:
D(E_F)   3.359 states/eV per cell

---

Least stable structure: <one>

---

<one>
Density functional theory data (GGA-PBE) for a geometry-optimized MgSbF2 structure.

The structure in POSCAR format:
```
MgSbF2
1.0
-3.026 3.026 4.299
3.026 -3.026 4.299
3.026 3.026 -4.299
Mg Sb F
2 2 4
direct
0.000 0.000 0.000
0.750 0.250 0.500
0.250 0.750 0.500
0.500 0.500 0.000
0.375 0.126 0.251
0.874 0.125 0.249
0.875 0.124 0.749
0.876 0.625 0.751
```

Computed properties:
D(E_F)   0.674 states/eV per cell

---

<two>
Density functional theory data (GGA-PBE) for a geometry-optimized MgSbF2 structure.

The structure in POSCAR format:
```
MgSbF2
1.0
1.564 0.903 9.695
-1.564 0.903 9.695
0.000 -1.806 9.695
Mg Sb F
1 1 2
direct
0.000 0.000 0.000
0.500 0.500 0.500
0.365 0.365 0.365
0.635 0.635 0.635
```

Computed properties:
D(E_F)   0.795 states/eV per cell

---

Least stable structure: <one>